[1]
Density functional theory data (PBE) for a relaxed structure of Sm6AsP2Se3.

Unit cell a=4.144 b=8.367 c=9.345 alpha=103.76 beta=102.81 gamma=90.00
Element x y z (fractional)
Sm 0.994 0.753 0.989
Sm 0.328 0.428 0.656
Sm 0.334 0.902 0.668
Sm 0.672 0.572 0.344
Sm 0.006 0.247 0.011
Sm 0.666 0.098 0.332
As 0.500 0.000 0.000
P 0.833 0.666 0.666
P 0.167 0.334 0.334
Se 0.835 0.167 0.669
Se 0.165 0.833 0.331
Se 0.500 0.500 0.000

Summary:
Energy in eV per atom: -6.289
Symmetry: C2/m (12)

[2]
Density functional theory data (PBE) for a relaxed structure of Sr8As5Br.

Unit cell a=8.277 b=8.277 c=8.277 alpha=109.38 beta=109.65 gamma=109.38
Element x y z (fractional)
Br 0.250 0.500 0.750
Sr 0.637 0.900 0.880
Sr 0.121 0.760 0.497
Sr 0.738 0.240 0.361
Sr 0.980 0.100 0.737
Sr 0.263 0.243 0.363
Sr 0.639 0.377 0.879
Sr 0.120 0.757 0.020
Sr 0.503 0.623 0.262
As 0.747 0.619 0.633
As 0.014 0.381 0.128
As 0.500 0.000 0.500
As 0.872 0.885 0.253
As 0.367 0.115 0.986

Summary:
Energy in eV per atom: -4.010
Symmetry: I-4 (82)

[3]
Density functional theory data (PBE) for a relaxed structure of AlTl2F.

Unit cell a=5.592 b=5.592 c=8.304 alpha=70.33 beta=70.33 gamma=90.00
Element x y z (fractional)
Al 0.000 0.000 0.000
Al 0.750 0.250 0.500
F 0.250 0.750 0.500
F 0.500 0.500 0.000
Tl 0.170 0.625 0.250
Tl 0.580 0.125 0.250
Tl 0.875 0.830 0.750
Tl 0.375 0.420 0.750

Summary:
Energy in eV per atom: -2.975
Symmetry: I-42d (122)

[4]
Density functional theory data (PBE) for a relaxed structure of LiHf3Zr.

Unit cell a=5.189 b=5.189 c=5.189 alpha=90.00 beta=90.00 gamma=90.00
Element x y z (fractional)
Hf 0.000 0.000 0.500
Hf 0.500 0.000 0.000
Hf 0.000 0.500 0.000
Zr 0.000 0.000 0.000
Li 0.500 0.500 0.500

Summary:
Energy in eV per atom: -6.855
Energy relative to the elements in meV per atom: 1210
Symmetry: Pm-3m (221)

[5]
Density functional theory data (PBE) for a relaxed structure of Ca2TlBi2.

Unit cell a=3.619 b=5.350 c=19.644 alpha=90.00 beta=90.00 gamma=90.00
Element x y z (fractional)
Ca 0.000 0.517 0.814
Ca 0.000 0.983 0.314
Ca 0.000 0.483 0.186
Ca 0.000 0.017 0.686
Bi 0.500 0.517 0.657
Bi 0.500 0.483 0.343
Bi 0.500 0.983 0.157
Bi 0.500 0.017 0.843
Tl 0.000 0.000 0.000
Tl 0.000 0.500 0.500

Summary:
Energy in eV per atom: -3.286
Energy relative to the elements in meV per atom: -460
Symmetry: Pbam (55)

[6]
Density functional theory data (PBE) for a relaxed structure of YTcRu2.

Unit cell a=9.628 b=9.628 c=9.628 alpha=17.04 beta=17.04 gamma=17.04
Element x y z (fractional)
Y 0.749 0.749 0.749
Ru 0.250 0.250 0.250
Ru 0.991 0.991 0.991
Tc 0.510 0.510 0.510

Summary:
Energy in eV per atom: -8.373
Energy relative to the elements in meV per atom: 473
Symmetry: R3m (160)

[7]
Density functional theory data (PBE) for a relaxed structure of Sm2InBi.

Unit cell a=4.101 b=4.101 c=6.964 alpha=90.00 beta=90.00 gamma=90.00
Element x y z (fractional)
Bi 0.500 0.500 0.000
Sm 0.000 0.000 0.247
Sm 0.000 0.000 0.753
In 0.500 0.500 0.500

Summary:
Energy in eV per atom: -4.605
Energy relative to the elements in meV per atom: -591
Symmetry: P4/mmm (123)

[8]
Density functional theory data (PBE) for a relaxed structure of Ta6Nb3Tc.

Unit cell a=4.647 b=8.083 c=9.838 alpha=105.32 beta=90.00 gamma=90.00
Element x y z (fractional)
Nb 0.750 0.648 0.199
Nb 0.250 0.754 0.001
Nb 0.250 0.545 0.398
Nb 0.750 0.246 0.999
Nb 0.750 0.455 0.602
Nb 0.250 0.352 0.801
Tc 0.250 0.950 0.599
Tc 0.750 0.050 0.401
Ta 0.250 0.657 0.695
Ta 0.250 0.450 0.100
Ta 0.250 0.240 0.501
Ta 0.750 0.951 0.108
Ta 0.750 0.550 0.900
Ta 0.750 0.144 0.692
Ta 0.250 0.856 0.308
Ta 0.250 0.049 0.892
Ta 0.750 0.760 0.499
Ta 0.750 0.850 0.802
Ta 0.750 0.343 0.305
Ta 0.250 0.150 0.198

Summary:
Energy in eV per atom: -11.276
Energy relative to the elements in meV per atom: -107
Symmetry: P2_1/m (11)

[9]
Density functional theory data (PBE) for a relaxed structure of K2AsAu2.

Unit cell a=7.110 b=7.110 c=5.320 alpha=90.00 beta=90.00 gamma=90.00
Element x y z (fractional)
K 0.826 0.326 0.500
K 0.326 0.174 0.500
K 0.674 0.826 0.500
K 0.174 0.674 0.500
Au 0.645 0.145 0.000
Au 0.145 0.355 0.000
Au 0.355 0.855 0.000
Au 0.855 0.645 0.000
As 0.000 0.000 0.000
As 0.500 0.500 0.000

Summary:
Energy in eV per atom: -2.922
Energy relative to the elements in meV per atom: -242
Symmetry: P4/mbm (127)

[10]
Density functional theory data (PBE) for a relaxed structure of Ca2YMn.

Unit cell a=6.128 b=6.128 c=3.596 alpha=90.00 beta=90.00 gamma=111.76
Last column: magnetic moment on the atom in μB.
Element x y z (fractional)
Ca 0.500 0.500 0.000  -0.04
Ca 0.000 0.000 0.000  -0.04
Mn 0.500 0.000 0.500  4.07
Y 0.000 0.500 0.500  -0.21

Summary:
Energy in eV per atom: -4.461
Energy relative to the elements in meV per atom: 448
Symmetry: Cmmm (65)

[11]
Density functional theory data (PBE) for a relaxed structure of Ho8Tl2Si.

Unit cell a=5.061 b=6.670 c=9.818 alpha=103.59 beta=104.94 gamma=90.00
Element x y z (fractional)
Ho 0.020 0.775 0.039
Ho 0.980 0.225 0.961
Ho 0.788 0.684 0.576
Ho 0.588 0.453 0.177
Ho 0.212 0.316 0.424
Ho 0.350 0.013 0.701
Ho 0.412 0.547 0.823
Ho 0.650 0.987 0.299
Tl 0.818 0.246 0.635
Tl 0.182 0.754 0.365
Si 0.500 0.000 0.000

Summary:
Energy in eV per atom: -4.477
Symmetry: C2/m (12)